Material: LiGaPO4F
Method: DFT, GGA-PBE
State: optimized geometry

Values from the calculation:
Magnetic moment, μB/f.u.: 0.000
E, eV/atom: -6.3100
V, Å³/atom: 10.87

Cell lengths 5.1631, 5.2912, 7.2889 Å; angles 106.99, 108.68, 98.37 degrees
Fractional positions:
Li (0.2244, 0.3811, 0.3087)
Li (0.7756, 0.6189, 0.6913)
Ga (0.5000, 0.0000, 0.0000)
Ga (0.5000, 0.0000, 0.5000)
P (0.1788, 0.3532, 0.7380)
P (0.8212, 0.6468, 0.2620)
O (0.1330, 0.7571, 0.4212)
O (0.1970, 0.6595, 0.8459)
O (0.2418, 0.2023, 0.8905)
O (0.3824, 0.3324, 0.6161)
O (0.6176, 0.6676, 0.3839)
O (0.7582, 0.7977, 0.1095)
O (0.8030, 0.3405, 0.1541)
O (0.8670, 0.2429, 0.5788)
F (0.3710, 0.0677, 0.2362)
F (0.6290, 0.9323, 0.7638)



Material: LiGa2OsF
Method: DFT, GGA-PBE
State: optimized geometry

Values from the calculation:
Magnetic moment, μB/f.u.: 1.901
E, eV/atom: -3.5272
V, Å³/atom: 17.10

Cell lengths 4.5064, 4.5064, 4.2107 Å; angles 90.00, 90.00, 90.00 degrees
Fractional positions:
Li (0.0000, 0.0000, 0.0000)
Ga (0.0000, 0.5000, 0.0000)
Ga (0.5000, 0.0000, 0.0000)
Os (0.0000, 0.0000, 0.5000)
F (0.5000, 0.5000, 0.5000)



Material: LiGaPbF6
Method: DFT, GGA-PBE
State: optimized geometry

Values from the calculation:
Magnetic moment, μB/f.u.: 0.000
E, eV/atom: -4.8774
V, Å³/atom: 14.16

Cell lengths 5.2795, 5.2795, 5.2782 Å; angles 90.00, 90.00, 120.00 degrees
Fractional positions:
Li (0.0000, 0.0000, 0.0000)
Ga (0.3333, 0.6667, 0.0000)
Pb (0.6667, 0.3333, 0.5000)
F (0.0474, 0.3523, 0.2067)
F (0.0474, 0.6951, 0.7933)
F (0.3049, 0.3523, 0.7933)
F (0.3049, 0.9526, 0.2067)
F (0.6477, 0.6951, 0.2067)
F (0.6477, 0.9526, 0.7933)